Entry 1:
Ca2MgW2: relaxed, GGA-PBE.

Structure (POSCAR):
```
Ca2MgW2
1.0
-8.423 1.877 2.076
-2.763 -4.536 -7.111
-0.157 -2.625 1.736
W Ca Mg
4 4 2
direct
0.909 0.591 0.000 W
0.409 0.909 0.000 W
0.591 0.091 0.000 W
0.091 0.409 0.000 W
0.199 0.699 0.500 Ca
0.801 0.301 0.500 Ca
0.301 0.199 0.500 Ca
0.699 0.801 0.500 Ca
0.500 0.500 0.000 Mg
0.000 0.000 0.000 Mg
```

Results
**SG**: P4/mbm (127)
**Relative energy among the computed polymorphs**: 0.0 meV/atom

=====

Entry 2:
Ti3CrPt: relaxed, GGA-PBE.

Structure (POSCAR):
```
Ti3CrPt
1.0
-4.384 -0.195 0.418
0.334 -4.094 1.599
0.317 1.622 4.087
Ti Cr Pt
3 1 1
direct
0.000 0.000 0.500 Ti
0.000 0.500 0.000 Ti
0.500 0.000 0.000 Ti
0.000 0.000 0.000 Cr
0.500 0.500 0.500 Pt
```

Results
**SG**: Pm-3m (221)
**Relative energy among the computed polymorphs**: 0.0 meV/atom

=====

Entry 3:
RbCePaSe4: relaxed, GGA-PBE.

Structure (POSCAR):
```
RbCePaSe4
1.0
8.774 0.000 0.000
-4.387 7.836 -0.610
0.000 -4.772 7.847
Se Ce Rb Pa
8 2 2 2
direct
0.745 0.055 0.278 Se
0.266 0.531 0.312 Se
0.734 0.469 0.281 Se
0.255 0.945 0.722 Se
0.690 0.945 0.722 Se
0.266 0.531 0.719 Se
0.734 0.469 0.688 Se
0.310 0.055 0.278 Se
0.500 0.000 0.500 Ce
0.500 0.000 0.000 Ce
0.869 0.738 0.119 Rb
0.131 0.262 0.881 Rb
0.500 0.500 0.500 Pa
0.000 0.500 0.500 Pa
```

Results
**SG**: Imma (74)
**Formation energy from raw total energies**: -1.476 eV/atom

=====

Entry 4:
La5Nd7Sm: relaxed, GGA-PBE.

Structure (POSCAR):
```
La5Nd7Sm
1.0
6.979 0.000 0.000
3.489 8.236 0.377
3.489 0.351 8.238
Nd La Sm
7 5 1
direct
0.483 0.186 0.848 Nd
0.727 0.273 0.273 Nd
0.483 0.848 0.186 Nd
0.245 0.255 0.255 Nd
0.982 0.338 0.697 Nd
0.982 0.697 0.338 Nd
0.431 0.569 0.569 Nd
0.996 0.001 0.562 La
0.441 0.001 0.562 La
0.441 0.562 0.001 La
0.769 0.731 0.731 La
0.996 0.562 0.001 La
0.023 0.977 0.977 Sm
```

Results
**SG**: Imm2 (44)
**E**: -4.62 eV/atom

=====

Entry 5:
GdNiAs2: relaxed, GGA-PBE.

Structure (POSCAR):
```
GdNiAs2
1.0
3.738 0.000 0.000
1.869 3.237 0.000
1.869 1.079 7.772
Ni As Gd
1 2 1
direct
0.500 0.500 0.500 Ni
0.123 0.123 0.630 As
0.877 0.877 0.370 As
0.000 0.000 0.000 Gd
```

Results
**SG**: R-3m (166)
**E**: -7.42 eV/atom

=====

Entry 6:
ScZn3S: relaxed, GGA-PBE.

Structure (POSCAR):
```
ScZn3S
1.0
4.699 0.000 0.000
0.000 4.699 0.000
0.000 0.000 4.699
Zn Sc S
3 1 1
direct
0.000 0.000 0.500 Zn
0.000 0.500 0.000 Zn
0.500 0.000 0.000 Zn
0.500 0.500 0.500 Sc
0.000 0.000 0.000 S
```

Results
**SG**: Pm-3m (221)
**Relative energy among the computed polymorphs**: 0.0 meV/atom
**Formation energy from raw total energies**: 0.360 eV/atom

=====

Entry 7:
Ac2HgC: relaxed, GGA-PBE.

Structure (POSCAR):
```
Ac2HgC
1.0
-2.967 2.525 -0.720
-2.976 -1.069 -2.387
-6.270 -2.631 5.708
Ac Hg C
2 1 1
direct
0.273 0.273 0.181 Ac
0.727 0.727 0.819 Ac
0.500 0.500 0.500 Hg
0.000 0.000 0.000 C
```

Results
**SG**: R-3m (166)
**E**: -4.51 eV/atom

=====

Entry 8:
La5Sm2HoSc: relaxed, GGA-PBE.

Structure (POSCAR):
```
La5Sm2HoSc
1.0
-2.363 -8.089 -0.499
6.288 -2.158 5.204
-7.328 6.262 4.603
La Ho Sm Sc
10 2 4 2
direct
0.425 0.364 0.289 La
0.136 0.075 0.711 La
0.500 0.500 0.000 La
0.575 0.636 0.711 La
0.636 0.136 0.711 La
0.000 0.000 0.000 La
0.075 0.575 0.711 La
0.925 0.425 0.289 La
0.364 0.864 0.289 La
0.864 0.925 0.289 La
0.750 0.750 0.500 Ho
0.250 0.250 0.500 Ho
0.627 0.127 0.000 Sm
0.873 0.627 0.000 Sm
0.373 0.873 0.000 Sm
0.127 0.373 0.000 Sm
0.750 0.250 0.500 Sc
0.250 0.750 0.500 Sc
```

Results
**SG**: I4/mcm (140)
**E**: -4.71 eV/atom

=====

Entry 9:
Pm2PrDy6Mg: relaxed, GGA-PBE.

Structure (POSCAR):
```
Pm2PrDy6Mg
1.0
-5.780 -2.575 2.152
-1.060 -6.863 -8.513
3.913 -2.609 9.929
Pm Dy Pr Mg
4 12 2 2
direct
0.501 0.814 0.649 Pm
0.999 0.351 0.186 Pm
0.001 0.649 0.814 Pm
0.499 0.186 0.351 Pm
0.721 0.086 0.565 Dy
0.531 0.792 0.087 Dy
0.779 0.435 0.914 Dy
0.018 0.703 0.524 Dy
0.469 0.208 0.913 Dy
0.221 0.565 0.086 Dy
0.982 0.297 0.476 Dy
0.279 0.914 0.435 Dy
0.482 0.476 0.297 Dy
0.969 0.913 0.208 Dy
0.518 0.524 0.703 Dy
0.031 0.087 0.792 Dy
0.250 0.992 0.008 Pr
0.750 0.008 0.992 Pr
0.750 0.708 0.292 Mg
0.250 0.292 0.708 Mg
```

Results
**SG**: C2/c (15)
**E**: -4.24 eV/atom

=====

Entry 10:
Ti5HPb3: relaxed, GGA-PBE.

Structure (POSCAR):
```
Ti5HPb3
1.0
5.507 0.000 0.000
0.000 7.141 -4.123
0.000 0.000 8.245
Ti Pb H
10 6 2
direct
0.000 0.333 0.667 Ti
0.500 0.333 0.667 Ti
0.500 0.667 0.333 Ti
0.250 0.000 0.207 Ti
0.750 0.793 0.000 Ti
0.250 0.793 0.793 Ti
0.750 0.207 0.207 Ti
0.750 0.000 0.793 Ti
0.250 0.207 0.000 Ti
0.000 0.667 0.333 Ti
0.750 0.000 0.397 Pb
0.750 0.603 0.603 Pb
0.750 0.397 0.000 Pb
0.250 0.000 0.603 Pb
0.250 0.603 0.000 Pb
0.250 0.397 0.397 Pb
0.500 0.000 0.000 H
0.000 0.000 0.000 H
```

Results
**SG**: P6_3/mcm (193)
**E**: -6.07 eV/atom

=====

no.,D(E_F) (states/eV/atom)
1,0.922
2,1.506
3,1.881
4,1.590
5,0.811
6,0.714
7,1.131
8,1.723
9,1.481
10,1.126